Material: SrPr2Sm3Te6
Method: DFT, GGA-PBE
State: relaxed

Properties
D(E_F)   5.830 states/eV per cell
Space group   No. 12
E_form (uncorrected)   -1.4539 eV/atom

Unit cell a=4.502 b=9.077 c=10.112 alpha=103.36 beta=102.86 gamma=90.00
Positions (direct):
Sm 0.500 0.500 0.000
Sm 0.167 0.823 0.333
Sm 0.833 0.177 0.667
Te 0.999 0.743 0.999
Te 0.337 0.414 0.675
Te 0.331 0.922 0.661
Te 0.663 0.586 0.325
Te 0.669 0.078 0.339
Te 0.001 0.257 0.001
Pr 0.172 0.344 0.344
Pr 0.828 0.656 0.656
Sr 0.500 0.000 0.000